Density functional theory data (PBE) for K2TlSe after structural relaxation.

Computed properties:
formation energy without anion corrections	-0.4214	eV/atom
Fermi-level density of states	1.0	states/eV/cell
E above lowest polymorph	0.195	eV per atom

Geometry as extended XYZ:
```
4
Lattice="0.000 4.063 4.063 4.063 0.000 4.063 4.063 4.063 0.000" Properties=species:S:1:pos:R:3 pbc="T T T"
K 0.000 0.000 0.000
K 2.031 2.031 2.031
Tl 6.094 6.094 6.094
Se 4.063 4.063 4.063
```

Density functional theory data (PBE) for LiZn4Cu2 after structural relaxation.

Computed properties:
Fermi-level density of states	2.1	states/eV/cell
E above lowest polymorph	0.000	eV per atom
energy of formation from the pure elements	-112.7	meV per atom

Geometry as extended XYZ:
```
7
Lattice="3.998 -3.175 0.000 3.998 3.175 0.000 -3.005 0.000 3.990" Properties=species:S:1:pos:R:3 pbc="T T T"
Li 0.000 0.000 0.000
Zn 1.500 1.893 1.184
Zn 3.492 1.893 2.806
Zn 1.500 -1.893 1.184
Zn 3.492 -1.893 2.806
Cu 3.238 0.000 0.986
Cu 1.754 0.000 3.003
```

Density functional theory data (PBE) for RbAlC2N after structural relaxation.

Computed properties:
formation energy without anion corrections	3.0340	eV/atom
Fermi-level density of states	3.5	states/eV/cell

Geometry as extended XYZ:
```
5
Lattice="4.029 0.000 0.000 0.000 4.029 0.000 0.000 0.000 4.874" Properties=species:S:1:pos:R:3 pbc="T T T"
Rb 0.000 0.000 0.000
Al 2.015 2.015 0.000
C 0.000 2.015 2.437
C 2.015 0.000 2.437
N 0.000 0.000 2.437
```

Density functional theory data (PBE) for Sc2Be2Fe5Re after structural relaxation.

Computed properties:
Fermi-level density of states	19.1	states/eV/cell
energy of formation from the pure elements	-100.6	meV per atom

Geometry as extended XYZ:
```
20
Lattice="8.972 0.000 0.000 0.000 8.972 0.000 0.000 0.000 3.024" Properties=species:S:1:pos:R:3 pbc="T T T"
Sc 1.574 2.912 0.000
Sc 2.912 7.398 0.000
Sc 6.060 1.574 0.000
Sc 7.398 6.060 0.000
Be 1.071 5.557 0.000
Be 3.415 1.071 0.000
Be 5.557 7.901 0.000
Be 7.901 3.415 0.000
Fe 0.000 4.486 1.512
Fe 0.580 7.096 1.512
Fe 1.876 0.580 1.512
Fe 2.610 5.066 1.512
Fe 3.906 2.610 1.512
Fe 4.486 0.000 1.512
Fe 5.066 6.362 1.512
Fe 6.362 3.906 1.512
Fe 7.096 8.392 1.512
Fe 8.392 1.876 1.512
Re 0.000 0.000 0.000
Re 4.486 4.486 0.000
```

Density functional theory data (PBE) for NiRuAu2 after structural relaxation.

Computed properties:
Fermi-level density of states	4.8	states/eV/cell
E above lowest polymorph	0.255	eV per atom
energy of formation from the pure elements	448.9	meV per atom

Geometry as extended XYZ:
```
4
Lattice="2.824 0.000 0.000 0.000 4.704 0.000 0.000 0.000 4.755" Properties=species:S:1:pos:R:3 pbc="T T T"
Ni 0.000 0.000 0.000
Ru 1.412 2.352 0.000
Au 0.000 2.352 2.378
Au 1.412 0.000 2.378
```

Density functional theory data (PBE) for ThCoP2 after structural relaxation.

Computed properties:
Fermi-level density of states	3.7	states/eV/cell
energy of formation from the pure elements	-1047.7	meV per atom

Geometry as extended XYZ:
```
4
Lattice="-1.976 1.976 4.539 1.976 -1.976 4.539 1.976 1.976 -4.539" Properties=species:S:1:pos:R:3 pbc="T T T"
Th 0.000 0.000 0.000
Co 1.976 0.000 2.269
P 0.000 0.000 3.309
P 0.000 0.000 5.768
```

Density functional theory data (PBE) for KTiNiSe4 after structural relaxation.

Computed properties:
formation energy without anion corrections	-0.7035	eV/atom
Fermi-level density of states	11.0	states/eV/cell

Geometry as extended XYZ:
```
14
Lattice="6.451 0.000 0.000 0.000 5.753 0.000 -3.170 0.000 8.843" Properties=species:S:1:pos:R:3 pbc="T T T"
K -0.271 1.438 4.032
K 3.551 4.315 4.811
Ti 1.683 4.315 0.541
Ti 1.597 1.438 8.302
Ni -2.206 1.438 7.319
Ni 5.486 4.315 1.525
Se 0.618 1.438 0.749
Se 0.809 4.315 2.961
Se -0.419 2.899 7.272
Se -0.419 5.730 7.272
Se 3.699 0.022 1.571
Se 3.699 2.854 1.571
Se 2.471 1.438 5.882
Se 2.662 4.315 8.094
```

Density functional theory data (PBE) for Zn6CuAg12 after structural relaxation.

Computed properties:
Fermi-level density of states	6.1	states/eV/cell
energy of formation from the pure elements	6.5	meV per atom

Geometry as extended XYZ:
```
19
Lattice="6.254 3.611 2.346 -6.254 3.611 2.346 0.000 -7.221 2.346" Properties=species:S:1:pos:R:3 pbc="T T T"
Zn -1.951 -2.661 2.322
Zn -1.329 3.020 2.322
Zn -3.280 0.359 4.714
Zn 3.280 -0.359 2.322
Zn 1.329 -3.020 4.714
Zn 1.951 2.661 4.714
Cu 0.000 0.000 0.000
Ag -3.970 1.847 2.356
Ag 0.385 -4.361 2.356
Ag -1.661 0.134 2.339
Ag -3.584 -2.514 4.680
Ag 0.715 -1.506 2.339
Ag 0.947 1.372 2.339
Ag -0.947 -1.372 4.698
Ag -0.715 1.506 4.698
Ag 3.584 2.514 2.356
Ag 1.661 -0.134 4.698
Ag -0.385 4.361 4.680
Ag 3.970 -1.847 4.680
```

Density functional theory data (PBE) for NiN2Cl2 after structural relaxation.

Computed properties:
formation energy without anion corrections	-0.3422	eV/atom

Geometry as extended XYZ:
```
5
Lattice="3.030 -1.748 0.000 3.030 1.748 0.000 -0.015 0.000 10.141" Properties=species:S:1:pos:R:3 pbc="T T T"
Ni 0.000 0.000 0.000
N 0.050 0.000 4.517
N 5.994 0.000 5.624
Cl 2.020 0.000 1.294
Cl 4.024 0.000 8.847
```

Density functional theory data (PBE) for Y2Cu2Pt after structural relaxation.

Computed properties:
Fermi-level density of states	6.1	states/eV/cell
E above lowest polymorph	0.000	eV per atom
energy of formation from the pure elements	-605.4	meV per atom

Geometry as extended XYZ:
```
10
Lattice="5.103 -2.020 0.000 5.103 2.020 0.000 -4.303 0.000 9.910" Properties=species:S:1:pos:R:3 pbc="T T T"
Y -1.334 0.000 3.362
Y 1.454 0.000 1.170
Y 4.449 0.000 8.740
Y 7.236 0.000 6.548
Cu 1.766 0.000 4.457
Cu 4.380 0.000 1.048
Cu 1.522 0.000 8.862
Cu 4.136 0.000 5.453
Pt 0.017 0.000 6.712
Pt 5.886 0.000 3.198
```

Density functional theory data (PBE) for LiTaP2 after structural relaxation.

Computed properties:
Fermi-level density of states	1.3	states/eV/cell
E above lowest polymorph	0.304	eV per atom
energy of formation from the pure elements	-263.0	meV per atom

Geometry as extended XYZ:
```
4
Lattice="3.419 -3.399 0.000 3.419 3.399 0.000 -0.814 0.000 2.674" Properties=species:S:1:pos:R:3 pbc="T T T"
Li 0.000 0.000 0.000
Ta 3.419 0.000 0.000
P 1.303 1.699 1.337
P 1.303 -1.699 1.337
```

Density functional theory data (PBE) for Ta2NbMo2 after structural relaxation.

Computed properties:
Fermi-level density of states	10.0	states/eV/cell
E above lowest polymorph	0.476	eV per atom
energy of formation from the pure elements	340.3	meV per atom

Geometry as extended XYZ:
```
10
Lattice="-2.434 2.886 6.408 2.434 -2.886 6.408 2.434 2.886 -6.408" Properties=species:S:1:pos:R:3 pbc="T T T"
Ta 2.434 1.443 -1.155
Ta 0.000 1.443 0.348
Ta 2.434 1.443 6.061
Ta 0.000 1.443 7.563
Nb 2.434 1.443 1.839
Nb 0.000 1.443 4.569
Mo 2.434 2.661 -3.978
Mo 2.434 -0.225 3.978
Mo 0.000 3.111 2.430
Mo 0.000 0.225 10.386
```

Density functional theory data (PBE) for Pm2SiGe3 after structural relaxation.

Computed properties:
formation energy without anion corrections	-0.5742	eV/atom
Fermi-level density of states	1.9	states/eV/cell
E above lowest polymorph	0.000	eV per atom

Geometry as extended XYZ:
```
6
Lattice="4.060 0.000 0.000 0.000 4.091 0.000 0.000 0.000 8.103" Properties=species:S:1:pos:R:3 pbc="T T T"
Pm 0.000 0.000 0.000
Pm 2.030 0.000 3.877
Si 2.030 2.045 1.202
Ge 0.000 2.045 2.589
Ge 0.000 2.045 5.236
Ge 2.030 2.045 6.793
```

Density functional theory data (PBE) for KCdH4 after structural relaxation.

Computed properties:
Fermi-level density of states	1.7	states/eV/cell
energy	-29.81	eV per cell

Geometry as extended XYZ:
```
12
Lattice="6.051 0.000 0.000 0.000 5.784 0.000 -1.159 0.000 5.797" Properties=species:S:1:pos:R:3 pbc="T T T"
K -0.290 1.330 1.449
K -0.869 4.454 4.348
Cd 2.157 0.760 4.348
Cd 2.736 5.023 1.449
H -0.489 1.768 4.429
H 0.090 4.016 1.531
H 1.704 0.205 0.203
H 1.125 5.579 3.101
H 3.768 0.205 2.695
H 3.188 5.579 5.594
H 4.803 1.768 4.266
H 5.382 4.016 1.368
```

Density functional theory data (PBE) for Sr2AlAsSe after structural relaxation.

Computed properties:
formation energy without anion corrections	-0.1677	eV/atom
Fermi-level density of states	5.2	states/eV/cell

Geometry as extended XYZ:
```
5
Lattice="6.145 0.000 0.000 0.000 6.145 0.000 0.000 0.000 4.601" Properties=species:S:1:pos:R:3 pbc="T T T"
Sr 0.000 3.072 0.000
Sr 3.072 0.000 0.000
Al 0.000 0.000 0.000
As 3.072 3.072 2.301
Se 0.000 0.000 2.301
```

Density functional theory data (PBE) for Zn5Cd3 after structural relaxation.

Computed properties:
Fermi-level density of states	4.5	states/eV/cell
E above lowest polymorph	0.027	eV per atom
energy of formation from the pure elements	110.4	meV per atom

Geometry as extended XYZ:
```
16
Lattice="8.487 0.000 0.000 0.000 4.913 0.000 -4.216 0.000 7.385" Properties=species:S:1:pos:R:3 pbc="T T T"
Zn -1.315 1.228 2.314
Zn -1.309 1.228 5.069
Zn -0.515 3.684 3.690
Zn 2.124 4.913 1.233
Zn 2.124 2.456 1.233
Zn 2.146 0.000 6.152
Zn 2.146 2.456 6.152
Zn 4.786 1.228 3.695
Zn 5.580 3.684 2.316
Zn 5.586 3.684 5.071
Cd -3.758 1.228 6.598
Cd -0.436 3.684 6.590
Cd 1.234 1.228 3.696
Cd 3.037 3.684 3.689
Cd 4.707 1.228 0.795
Cd 8.029 3.684 0.787
```

Density functional theory data (PBE) for Tb8Co2Sb after structural relaxation.

Computed properties:
formation energy without anion corrections	-0.2039	eV/atom
Fermi-level density of states	13.1	states/eV/cell

Geometry as extended XYZ:
```
11
Lattice="4.259 -6.554 0.000 4.259 6.554 0.000 -1.261 0.000 5.300" Properties=species:S:1:pos:R:3 pbc="T T T"
Tb 1.000 1.708 3.062
Tb 4.259 3.299 0.000
Tb 1.000 -1.708 3.062
Tb 3.089 0.000 1.069
Tb 4.167 0.000 4.231
Tb 6.256 1.708 2.238
Tb 4.259 -3.299 0.000
Tb 6.256 -1.708 2.238
Co 3.628 2.584 2.650
Co 3.628 -2.584 2.650
Sb 0.000 0.000 0.000
```

Density functional theory data (PBE) for Pr2Ag4S5 after structural relaxation.

Computed properties:
formation energy without anion corrections	-0.7819	eV/atom
Fermi-level density of states	5.0	states/eV/cell

Geometry as extended XYZ:
```
11
Lattice="2.082 1.202 17.434 -2.082 1.202 17.434 0.000 -2.405 17.434" Properties=species:S:1:pos:R:3 pbc="T T T"
Pr 0.000 0.000 7.017
Pr 0.000 0.000 45.285
Ag 0.000 0.000 16.080
Ag 0.000 0.000 21.639
Ag 0.000 0.000 30.663
Ag 0.000 0.000 36.221
S 0.000 0.000 11.980
S 0.000 0.000 19.181
S 0.000 0.000 26.151
S 0.000 0.000 33.121
S 0.000 0.000 40.322
```

Density functional theory data (PBE) for Pr3RuI2 after structural relaxation.

Computed properties:
formation energy without anion corrections	-0.6730	eV/atom
Fermi-level density of states	10.0	states/eV/cell
E above lowest polymorph	0.047	eV per atom

Geometry as extended XYZ:
```
12
Lattice="4.272 -6.632 0.000 4.272 6.632 0.000 -2.456 0.000 6.855" Properties=species:S:1:pos:R:3 pbc="T T T"
Pr 0.908 3.316 3.427
Pr 1.529 0.897 0.017
Pr 0.301 -0.897 3.444
Pr 2.136 -3.316 0.000
Pr 5.786 0.897 3.411
Pr 4.558 -0.897 6.838
Ru 2.430 5.383 5.141
Ru 3.658 -5.383 1.714
I 3.658 3.011 1.714
I 2.430 0.986 5.141
I 3.658 -0.986 1.714
I 2.430 -3.011 5.141
```

Density functional theory data (PBE) for AlHgRh2 after structural relaxation.

Computed properties:
Fermi-level density of states	1.4	states/eV/cell
E above lowest polymorph	0.000	eV per atom
energy of formation from the pure elements	-497.3	meV per atom

Geometry as extended XYZ:
```
4
Lattice="3.023 0.000 0.000 0.000 3.023 0.000 0.000 0.000 6.774" Properties=species:S:1:pos:R:3 pbc="T T T"
Al 0.000 0.000 0.000
Hg 0.000 0.000 3.387
Rh 1.511 1.511 1.444
Rh 1.511 1.511 5.331
```

no.,ρ (g/cm3)
1,4.48
2,6.49
3,3.16
4,7.82
5,14.55
6,8.27
7,4.67
8,9.15
9,2.44
10,8.13
11,6.67
12,11.93
13,6.61
14,2.55
15,3.40
16,7.17
17,8.48
18,5.54
19,6.65
20,11.63